This record from Alexandria describes a geometry-optimized In2HIrCl structure. The functional is PBE-GGA.

Lattice parameters (Å, degrees): 4.2675 4.7093 4.2675 90.00 90.00 90.00
Atoms (fractional coordinates):
Cl1 0.0000 0.5000 0.0000
In1 0.5000 0.0000 0.0000
In2 0.0000 0.0000 0.5000
H1 0.0000 0.0000 0.0000
Ir1 0.5000 0.5000 0.5000

Summary:
As for the symmetry: P4/mmm (123). The energy above the most stable polymorph in this dataset is 4.49 eV per formula unit. For the uncorrected energy, the calculation gives -3.232 eV/atom.